This record from Alexandria via LeMat-Bulk describes crystalline LiCoF3 at its relaxed geometry. The functional is PBE with a Hubbard U.

Properties
- DOS(E_F): 0.000 states/eV/atom
- Distance to the lowest polymorph of the same formula: 0.0000 eV/atom
- V: 11.681 A^3/atom
- Theoretical density: 3.49 g/cm3
- DFT total energy: -99.08 eV/cell

Lattice parameters (Å, degrees): 5.6476 8.0189 5.1588 90.00 90.00 90.00
Last column: nearest neighbours and their distance in Å.
Space group Pnma (No. 62)
Symmetry-distinct sites (fractional):
Li 0.1315 0.2500 0.0314 x4  4 F 1.89-2.04
Co 0.0000 0.0000 0.5000 x4  6 F 2.03-2.14
F 0.0225 0.7500 0.6418 x4  2 Li 1.90-2.04
F 0.1916 0.0643 0.8167 x8  1 Li 1.89, 2 Co 2.03-2.05